# LiHo3Mg7, optimized geometry, DFT PBE
data_LiHo3Mg7
_chemical_formula_sum 'Li4 Ho12 Mg28'
_cell_length_a 3.2836
_cell_length_b 21.9975
_cell_length_c 15.7323
_cell_angle_alpha 90.00
_cell_angle_beta 90.00
_cell_angle_gamma 90.00
_symmetry_space_group_name_H-M 'C m c m'
_symmetry_Int_Tables_number 63
_symmetry_space_group_name_Hall '-C 2c 2'
loop_
_atom_site_label
_atom_site_type_symbol
_atom_site_fract_x
_atom_site_fract_y
_atom_site_fract_z
_atom_site_occupancy
Li1 Li 0.0000 0.1110 0.2500 1
Ho1 Ho 0.0000 0.0818 0.5381 1
Ho2 Ho 0.0000 0.2564 0.2500 1
Mg1 Mg 0.0000 0.2907 0.0642 1
Mg2 Mg 0.0000 0.3327 0.6126 1
Mg3 Mg 0.0000 0.4058 0.2500 1
Mg4 Mg 0.0000 0.4732 0.6384 1
# **Energy of formation**: 79 meV/atom
# **Fermi-level density of states**: 37.52 states/eV per cell

# LiHoMg3, optimized geometry, DFT PBE
data_LiHoMg3
_chemical_formula_sum 'Li2 Ho2 Mg6'
_cell_length_a 3.1574
_cell_length_b 6.4171
_cell_length_c 12.2014
_cell_angle_alpha 90.00
_cell_angle_beta 90.00
_cell_angle_gamma 90.00
_symmetry_space_group_name_H-M 'P m m n'
_symmetry_Int_Tables_number 59
loop_
_symmetry_equiv_pos_as_xyz
'x,y,z'
'-x,-y,-z'
'-x+1/2,-y+1/2,z'
'x+1/2,y+1/2,-z'
'x+1/2,-y,-z'
'-x+1/2,y,z'
'-x,y+1/2,-z'
'x,-y+1/2,z'
loop_
_atom_site_label
_atom_site_type_symbol
_atom_site_fract_x
_atom_site_fract_y
_atom_site_fract_z
_atom_site_occupancy
Li1 Li 0.2500 0.2500 0.0223 1
Ho1 Ho 0.2500 0.7500 0.4082 1
Mg1 Mg 0.2500 0.0102 0.8118 1
Mg2 Mg 0.2500 0.2500 0.3576 1
# **Energy of formation**: 65 meV/atom
# **Fermi-level density of states**: 7.04 states/eV per cell
# **Energy above the lowest structure with this stoichiometry**: 62 meV per atom

# LiNdHoMg, optimized geometry, DFT PBE
data_LiNdHoMg
_chemical_formula_sum 'Li4 Nd4 Ho4 Mg4'
_cell_length_a 7.6114
_cell_length_b 7.6114
_cell_length_c 7.6114
_cell_angle_alpha 90.00
_cell_angle_beta 90.00
_cell_angle_gamma 90.00
_symmetry_space_group_name_H-M 'F -4 3 m'
_symmetry_Int_Tables_number 216
_symmetry_space_group_name_Hall 'F -4 2 3'
loop_
_atom_site_label
_atom_site_type_symbol
_atom_site_fract_x
_atom_site_fract_y
_atom_site_fract_z
_atom_site_occupancy
Li1 Li 0.0000 0.0000 0.0000 1
Nd1 Nd 0.2500 0.2500 0.7500 1
Ho1 Ho 0.2500 0.2500 0.2500 1
Mg1 Mg 0.0000 0.0000 0.5000 1
# **Energy of formation**: 31 meV/atom
# **Fermi-level density of states**: 24.15 states/eV per cell

# Li2NdHo2Mg5, optimized geometry, DFT PBE
data_Li2NdHo2Mg5
_chemical_formula_sum 'Li4 Nd2 Ho4 Mg10'
_cell_length_a 10.6052
_cell_length_b 10.6052
_cell_length_c 4.4424
_cell_angle_alpha 90.00
_cell_angle_beta 90.00
_cell_angle_gamma 90.00
_symmetry_space_group_name_H-M 'P 4/m b m'
_symmetry_Int_Tables_number 127
_symmetry_space_group_name_Hall '-P 4 2ab'
loop_
_atom_site_label
_atom_site_type_symbol
_atom_site_fract_x
_atom_site_fract_y
_atom_site_fract_z
_atom_site_occupancy
Li1 Li 0.1135 0.3865 0.0000 1
Nd1 Nd 0.0000 0.0000 0.0000 1
Ho1 Ho 0.1801 0.6801 0.0000 1
Mg1 Mg 0.0000 0.5000 0.5000 1
Mg2 Mg 0.0633 0.2176 0.5000 1
# **Energy of formation**: -12 meV/atom
# **Fermi-level density of states**: 18.05 states/eV per cell

# Li2Nd2HoMg5, optimized geometry, DFT PBE
data_Li2Nd2HoMg5
_chemical_formula_sum 'Li4 Nd4 Ho2 Mg10'
_cell_length_a 10.6735
_cell_length_b 10.6735
_cell_length_c 4.4809
_cell_angle_alpha 90.00
_cell_angle_beta 90.00
_cell_angle_gamma 90.00
_symmetry_space_group_name_H-M 'P 4/m b m'
_symmetry_Int_Tables_number 127
_symmetry_space_group_name_Hall '-P 4 2ab'
loop_
_atom_site_label
_atom_site_type_symbol
_atom_site_fract_x
_atom_site_fract_y
_atom_site_fract_z
_atom_site_occupancy
Li1 Li 0.1137 0.3863 0.0000 1
Nd1 Nd 0.1813 0.6813 0.0000 1
Ho1 Ho 0.0000 0.0000 0.0000 1
Mg1 Mg 0.0000 0.5000 0.5000 1
Mg2 Mg 0.0608 0.2139 0.5000 1
# **Energy of formation**: -46 meV/atom
# **Fermi-level density of states**: 17.90 states/eV per cell

# LiHoMgOs, optimized geometry, DFT PBE
data_LiHoMgOs
_chemical_formula_sum 'Li4 Ho4 Mg4 Os4'
_cell_length_a 6.6748
_cell_length_b 6.6748
_cell_length_c 6.6748
_cell_angle_alpha 90.00
_cell_angle_beta 90.00
_cell_angle_gamma 90.00
_symmetry_space_group_name_H-M 'F -4 3 m'
_symmetry_Int_Tables_number 216
_symmetry_space_group_name_Hall 'F -4 2 3'
loop_
_atom_site_label
_atom_site_type_symbol
_atom_site_fract_x
_atom_site_fract_y
_atom_site_fract_z
_atom_site_occupancy
Li1 Li 0.0000 0.0000 0.0000 1
Ho1 Ho 0.2500 0.2500 0.7500 1
Mg1 Mg 0.2500 0.2500 0.2500 1
Os1 Os 0.0000 0.0000 0.5000 1
# **Energy of formation**: -37 meV/atom
# **Fermi-level density of states**: 3.30 states/eV per cell

# LiHoMgPd, optimized geometry, DFT PBE
data_LiHoMgPd
_chemical_formula_sum 'Li4 Ho4 Mg4 Pd4'
_cell_length_a 6.8073
_cell_length_b 6.8073
_cell_length_c 6.8073
_cell_angle_alpha 90.00
_cell_angle_beta 90.00
_cell_angle_gamma 90.00
_symmetry_space_group_name_H-M 'F -4 3 m'
_symmetry_Int_Tables_number 216
_symmetry_space_group_name_Hall 'F -4 2 3'
loop_
_atom_site_label
_atom_site_type_symbol
_atom_site_fract_x
_atom_site_fract_y
_atom_site_fract_z
_atom_site_occupancy
Li1 Li 0.0000 0.0000 0.0000 1
Ho1 Ho 0.2500 0.2500 0.7500 1
Mg1 Mg 0.2500 0.2500 0.2500 1
Pd1 Pd 0.0000 0.0000 0.5000 1
# **Energy of formation**: -441 meV/atom
# **Fermi-level density of states**: 16.84 states/eV per cell

# Li2Pm2HoMg5, optimized geometry, DFT PBE
data_Li2Pm2HoMg5
_chemical_formula_sum 'Li4 Pm4 Ho2 Mg10'
_cell_length_a 10.6491
_cell_length_b 10.6491
_cell_length_c 4.4609
_cell_angle_alpha 90.00
_cell_angle_beta 90.00
_cell_angle_gamma 90.00
_symmetry_space_group_name_H-M 'P 4/m b m'
_symmetry_Int_Tables_number 127
_symmetry_space_group_name_Hall '-P 4 2ab'
loop_
_atom_site_label
_atom_site_type_symbol
_atom_site_fract_x
_atom_site_fract_y
_atom_site_fract_z
_atom_site_occupancy
Li1 Li 0.1139 0.3861 0.0000 1
Pm1 Pm 0.1809 0.6809 0.0000 1
Ho1 Ho 0.0000 0.0000 0.0000 1
Mg1 Mg 0.0000 0.5000 0.5000 1
Mg2 Mg 0.0616 0.2138 0.5000 1
# **Energy of formation**: -42 meV/atom
# **Fermi-level density of states**: 17.43 states/eV per cell

# Li2PmHo2Mg5, optimized geometry, DFT PBE
data_Li2PmHo2Mg5
_chemical_formula_sum 'Li4 Pm2 Ho4 Mg10'
_cell_length_a 10.5888
_cell_length_b 10.5888
_cell_length_c 4.4343
_cell_angle_alpha 90.00
_cell_angle_beta 90.00
_cell_angle_gamma 90.00
_symmetry_space_group_name_H-M 'P 4/m b m'
_symmetry_Int_Tables_number 127
_symmetry_space_group_name_Hall '-P 4 2ab'
loop_
_atom_site_label
_atom_site_type_symbol
_atom_site_fract_x
_atom_site_fract_y
_atom_site_fract_z
_atom_site_occupancy
Li1 Li 0.1137 0.3863 0.0000 1
Pm1 Pm 0.0000 0.0000 0.0000 1
Ho1 Ho 0.1803 0.6803 0.0000 1
Mg1 Mg 0.0000 0.5000 0.5000 1
Mg2 Mg 0.0627 0.2171 0.5000 1
# **Energy of formation**: -14 meV/atom
# **Fermi-level density of states**: 17.55 states/eV per cell

# Li2Pr2HoMg5, optimized geometry, DFT PBE
data_Li2Pr2HoMg5
_chemical_formula_sum 'Li4 Pr4 Ho2 Mg10'
_cell_length_a 10.6913
_cell_length_b 10.6913
_cell_length_c 4.5107
_cell_angle_alpha 90.00
_cell_angle_beta 90.00
_cell_angle_gamma 90.00
_symmetry_space_group_name_H-M 'P 4/m b m'
_symmetry_Int_Tables_number 127
_symmetry_space_group_name_Hall '-P 4 2ab'
loop_
_atom_site_label
_atom_site_type_symbol
_atom_site_fract_x
_atom_site_fract_y
_atom_site_fract_z
_atom_site_occupancy
Li1 Li 0.1133 0.3867 0.0000 1
Pr1 Pr 0.1816 0.6816 0.0000 1
Ho1 Ho 0.0000 0.0000 0.0000 1
Mg1 Mg 0.0000 0.5000 0.5000 1
Mg2 Mg 0.0604 0.2138 0.5000 1
# **Energy of formation**: -50 meV/atom
# **Fermi-level density of states**: 18.77 states/eV per cell

# LiPrHoMg, optimized geometry, DFT PBE
data_LiPrHoMg
_chemical_formula_sum 'Li4 Pr4 Ho4 Mg4'
_cell_length_a 7.6394
_cell_length_b 7.6394
_cell_length_c 7.6394
_cell_angle_alpha 90.00
_cell_angle_beta 90.00
_cell_angle_gamma 90.00
_symmetry_space_group_name_H-M 'F -4 3 m'
_symmetry_Int_Tables_number 216
_symmetry_space_group_name_Hall 'F -4 2 3'
loop_
_atom_site_label
_atom_site_type_symbol
_atom_site_fract_x
_atom_site_fract_y
_atom_site_fract_z
_atom_site_occupancy
Li1 Li 0.0000 0.0000 0.0000 1
Pr1 Pr 0.2500 0.2500 0.2500 1
Ho1 Ho 0.2500 0.2500 0.7500 1
Mg1 Mg 0.0000 0.0000 0.5000 1
# **Energy of formation**: 29 meV/atom
# **Fermi-level density of states**: 25.26 states/eV per cell

# LiHo2MgRh4, optimized geometry, DFT PBE
data_LiHo2MgRh4
_chemical_formula_sum 'Li3 Ho6 Mg3 Rh12'
_cell_length_a 4.5861
_cell_length_b 4.5861
_cell_length_c 22.4109
_cell_angle_alpha 90.00
_cell_angle_beta 90.00
_cell_angle_gamma 120.00
_symmetry_space_group_name_H-M 'R -3 m'
_symmetry_Int_Tables_number 166
_symmetry_space_group_name_Hall '-R 3 2"'
loop_
_atom_site_label
_atom_site_type_symbol
_atom_site_fract_x
_atom_site_fract_y
_atom_site_fract_z
_atom_site_occupancy
Li1 Li 0.0000 0.0000 0.0000 1
Ho1 Ho 0.0000 0.0000 0.2525 1
Mg1 Mg 0.0000 0.0000 0.5000 1
Rh1 Rh 0.0000 0.0000 0.1258 1
Rh2 Rh 0.0000 0.0000 0.3760 1
# **Energy of formation**: -639 meV/atom
# **Fermi-level density of states**: 9.34 states/eV per cell